(1)
Density functional theory data (PBE) for crystalline CaPtW at its relaxed geometry.

Cell: 8.865 3.188 4.557 Å, 90.00 75.11 79.49°
Sites, in units of the cell vectors:
W (0.372, 0.026, 0.674)
Ca (0.016, 0.707, 0.911)
Pt (0.122, 0.153, 0.357)
Ca (0.728, 0.346, 0.555)
Pt (0.622, 0.899, 0.107)
W (0.372, 0.526, 0.117)

Results
energy of formation from the pure elements	-0.143	eV per atom
space group	C2 (5)
ρ	11.38	g/cm3
calculated volume	20.376	A^3/atom



(2)
Density functional theory data (PBE) for crystalline AlCo3Re at its relaxed geometry.

Cell: 4.123 4.123 4.123 Å, 90.00 90.00 90.00°
Last column: magnetic moment on the atom in μB.
Sites, in units of the cell vectors:
Re (0.500, 0.500, 0.500)  1.50
Co (0.500, 0.000, 0.000)  1.27
Co (0.000, 0.000, 0.500)  1.27
Al (0.000, 0.000, 0.000)  -0.06
Co (0.000, 0.500, 0.000)  1.19

Results
energy above the most stable polymorph in this dataset	0.0	kJ/mol of formula units
energy of formation from the pure elements	1.240	eV per atom
space group	Pm-3m (221)
ρ	9.24	g/cm3
calculated volume	14.016	A^3/atom



Sequential raw total energy output: -42.85 -31.31 eV/cell